# 1
# Li4Dy3ErTe8

Li4Dy3ErTe8 after structural relaxation (PBE-GGA, Alexandria).

a = 8.653 Å, b = 8.653 Å, c = 8.653 Å
α = 60.13°, β = 60.13°, γ = 60.13°
Fractional coordinates of all 16 atoms:
Li: 0.000 0.000 0.000
Li: 0.000 0.500 0.500
Li: 0.500 0.000 0.500
Li: 0.500 0.500 0.000
Dy: 0.000 0.000 0.500
Dy: 0.000 0.500 0.000
Dy: 0.500 0.000 0.000
Er: 0.500 0.500 0.500
Te: 0.249 0.249 0.747
Te: 0.249 0.747 0.249
Te: 0.252 0.252 0.252
Te: 0.253 0.751 0.751
Te: 0.747 0.249 0.249
Te: 0.748 0.748 0.748
Te: 0.751 0.253 0.751
Te: 0.751 0.751 0.253

Computed properties:
total DFT energy (no corrections) = -4.486 eV per atom
formation energy without anion corrections = -1289 meV per atom
total magnetization = 0.0000 μB/atom

***

# 2
# La3Cd2Ga

La3Cd2Ga after structural relaxation (PBE-GGA, Alexandria).

a = 3.833 Å, b = 3.833 Å, c = 11.902 Å
α = 90.00°, β = 90.00°, γ = 90.00°
Fractional coordinates of all 6 atoms:
La: 0.000 0.000 0.000
La: 0.000 0.000 0.348
La: 0.000 0.000 0.652
Cd: 0.500 0.500 0.171
Cd: 0.500 0.500 0.829
Ga: 0.500 0.500 0.500

Computed properties:
total DFT energy (no corrections) = -3.685 eV per atom
total magnetization = 0.0539 μB/atom

***

# 3
# NpAlRuO6

NpAlRuO6 after structural relaxation (PBE-GGA, Alexandria).

a = 5.175 Å, b = 5.175 Å, c = 8.702 Å
α = 90.00°, β = 90.00°, γ = 120.00°
Fractional coordinates of all 18 atoms:
Np: 0.333 0.667 0.250
Np: 0.667 0.333 0.750
Al: 0.333 0.667 0.750
Al: 0.667 0.333 0.250
Ru: 0.000 0.000 0.000
Ru: 0.000 0.000 0.500
O: 0.024 0.346 0.630
O: 0.024 0.678 0.870
O: 0.322 0.346 0.870
O: 0.322 0.976 0.630
O: 0.346 0.024 0.130
O: 0.346 0.322 0.370
O: 0.654 0.678 0.630
O: 0.654 0.976 0.870
O: 0.678 0.024 0.370
O: 0.678 0.654 0.130
O: 0.976 0.322 0.130
O: 0.976 0.654 0.370

Computed properties:
total DFT energy (no corrections) = -8.296 eV per atom
formation energy without anion corrections = -2107 meV per atom
total magnetization = 0.2195 μB/atom

***

# 4
# YMg2Al2

YMg2Al2 after structural relaxation (PBE-GGA, Alexandria).

a = 8.346 Å, b = 8.346 Å, c = 3.080 Å
α = 90.00°, β = 90.00°, γ = 90.00°
Fractional coordinates of all 10 atoms:
Y: 0.000 0.000 0.000
Y: 0.500 0.500 0.000
Mg: 0.123 0.377 0.000
Mg: 0.377 0.877 0.000
Mg: 0.623 0.123 0.000
Mg: 0.877 0.623 0.000
Al: 0.174 0.674 0.500
Al: 0.326 0.174 0.500
Al: 0.674 0.826 0.500
Al: 0.826 0.326 0.500

Computed properties:
total DFT energy (no corrections) = -3.526 eV per atom
distance to the lowest polymorph of the same formula = 96 meV/atom
total magnetization = 0.0000 μB/atom

***

# 5
# VZnNi

VZnNi after structural relaxation (PBE-GGA, Alexandria).

a = 4.164 Å, b = 4.891 Å, c = 7.386 Å
α = 90.00°, β = 90.00°, γ = 90.00°
Fractional coordinates of all 12 atoms:
V: 0.000 0.237 0.000
V: 0.000 0.763 0.000
V: 0.500 0.263 0.500
V: 0.500 0.737 0.500
Zn: 0.000 0.000 0.332
Zn: 0.000 0.000 0.668
Zn: 0.500 0.500 0.168
Zn: 0.500 0.500 0.832
Ni: 0.000 0.500 0.336
Ni: 0.000 0.500 0.664
Ni: 0.500 0.000 0.164
Ni: 0.500 0.000 0.836

Computed properties:
total DFT energy (no corrections) = -5.517 eV per atom
total magnetization = 0.0000 μB/atom

***

# 6
# LaSc2TlC

LaSc2TlC after structural relaxation (PBE-GGA, Alexandria).

a = 4.683 Å, b = 4.683 Å, c = 5.158 Å
α = 90.00°, β = 90.00°, γ = 90.00°
Fractional coordinates of all 5 atoms:
La: 0.000 0.000 0.000
Sc: 0.000 0.500 0.500
Sc: 0.500 0.000 0.500
Tl: 0.500 0.500 0.000
C: 0.000 0.000 0.500

Computed properties:
total DFT energy (no corrections) = -6.225 eV per atom
total magnetization = 0.0000 μB/atom

***

# 7
# La4Nd2Sm2Dy

La4Nd2Sm2Dy after structural relaxation (PBE-GGA, Alexandria).

a = 8.250 Å, b = 8.250 Å, c = 8.204 Å
α = 107.67°, β = 107.67°, γ = 36.92°
Fractional coordinates of all 9 atoms:
La: 0.055 0.055 0.330
La: 0.278 0.278 0.669
La: 0.722 0.722 0.331
La: 0.945 0.945 0.670
Nd: 0.388 0.388 0.330
Nd: 0.612 0.612 0.670
Sm: 0.166 0.166 0.000
Sm: 0.834 0.834 0.000
Dy: 0.500 0.500 0.000

Computed properties:
total DFT energy (no corrections) = -4.789 eV per atom
total magnetization = 0.0000 μB/atom

***

# 8
# BeAsPt3

BeAsPt3 after structural relaxation (PBE-GGA, Alexandria).

a = 4.293 Å, b = 4.293 Å, c = 4.293 Å
α = 90.00°, β = 90.00°, γ = 90.00°
Fractional coordinates of all 5 atoms:
Be: 0.000 0.000 0.000
As: 0.500 0.500 0.500
Pt: 0.000 0.000 0.500
Pt: 0.000 0.500 0.000
Pt: 0.500 0.000 0.000

Computed properties:
total DFT energy (no corrections) = -5.195 eV per atom
distance to the lowest polymorph of the same formula = 0 meV/atom
total magnetization = 0.0000 μB/atom